No. 1
The following is a DFT calculation (PBE) of a relaxed VCu2Ni8 crystal.

The value obtained for the total energy is -124.3 eV per cell. Its polymorph energy (0 for the lowest one) is 0.0 meV per atom. The value obtained for the size of the total moment is 3.90 Bohr magnetons per cell. For the formation energy, the calculation gives 0.13 eV/atom.

It has space group Cmmm (No. 65), with a = 7.222 Å, b = 9.479 Å, c = 3.800 Å, α = 90.00°, β = 90.00° and γ = 90.00°. The inequivalent atoms are V at (0.000, 0.000, 0.000), Cu at (0.000, 0.378, 0.500), Ni at (0.000, 0.244, 0.000), Ni at (0.168, 0.132, 0.500) and Ni at (0.170, 0.500, 0.000).

=====

No. 2
The following is a DFT calculation (PBE) of a relaxed VCu2Ni crystal.

The value obtained for the total energy is -65.9 eV per cell. Its polymorph energy (0 for the lowest one) is 163.3 meV per atom. The value obtained for the size of the total moment is 0.72 Bohr magnetons per cell. For the formation energy, the calculation gives 0.28 eV/atom.

It has space group R-3m (No. 166, hexagonal axes), with a = 2.5084 Å, b = 2.5084 Å, c = 27.4870 Å, α = 90.00°, β = 90.00° and γ = 120.00°. The inequivalent atoms are V at (0.0000, 0.0000, 0.0000), Cu at (0.0000, 0.0000, 0.0906) and Ni at (0.0000, 0.0000, 0.5000).

=====

No. 3
The following is a DFT calculation (PBE) of a relaxed VCuNi2 crystal.

The value obtained for the total energy is -25.2 eV per cell. Its polymorph energy (0 for the lowest one) is 0.0 meV per atom. The value obtained for the size of the total moment is 0.00 Bohr magnetons per cell. For the formation energy, the calculation gives -0.11 eV/atom.

It has space group P4/mmm (No. 123), with a = 2.572 Å, b = 2.572 Å, c = 7.044 Å, α = 90.00°, β = 90.00° and γ = 90.00°. The inequivalent atoms are V at (0.000, 0.000, 0.000), Cu at (0.000, 0.000, 0.500) and Ni at (0.500, 0.500, 0.250).

=====

No. 4
The following is a DFT calculation (PBE) of a relaxed VCuNi6 crystal.

The value obtained for the total energy is -390.7 eV per cell. Its polymorph energy (0 for the lowest one) is 0.0 meV per atom. The value obtained for the size of the total moment is 8.36 Bohr magnetons per cell. For the formation energy, the calculation gives -0.12 eV/atom.

It has space group Cmmm (No. 65), with a = 7.085 Å, b = 10.026 Å, c = 10.041 Å, α = 90.00°, β = 90.00° and γ = 90.00°. The inequivalent atoms are V at (0.000, 0.000, 0.245), V at (0.000, 0.246, 0.500), Cu at (0.000, 0.250, 0.000), Cu at (0.000, 0.500, 0.249), Ni at (0.000, 0.000, 0.000), Ni at (0.000, 0.000, 0.500), Ni at (0.000, 0.248, 0.252), Ni at (0.000, 0.500, 0.000), Ni at (0.000, 0.500, 0.500), Ni at (0.248, 0.125, 0.126) and Ni at (0.249, 0.126, 0.376).